## YPa2CuN5 (GGA-PBE)

Data for a relaxed YPa2CuN5 crystal.

a b c (Å): 6.8877 6.8877 10.6832
angles (deg): 90.00 90.00 151.06
With the nearest neighbours (Å) after each atom.
Atoms (fractional coordinates):
Y: 0.1704 0.8296 0.5000  6 N 2.28-2.53
Y: 0.8296 0.1704 0.0000  6 N 2.28-2.53
Pa: 0.1169 0.8831 0.8002  6 N 2.28-2.38
Pa: 0.1478 0.8522 0.1899  6 N 2.24-2.44
Pa: 0.8522 0.1478 0.6899  6 N 2.24-2.44
Pa: 0.8831 0.1169 0.3002  6 N 2.28-2.38
Cu: 0.4841 0.5159 0.5207  4 N 1.94-2.05
Cu: 0.5159 0.4841 0.0207  4 N 1.94-2.05
N: 0.0192 0.9808 0.6152  2 Cu 2.05
N: 0.2934 0.7066 0.8341  3 Pa 2.38-2.44, 2 Y 2.52
N: 0.3154 0.6846 0.1721  3 Pa 2.24-2.38
N: 0.3358 0.6642 0.5534  1 Cu 2.01
N: 0.4902 0.5098 0.3394  1 Cu 1.94
N: 0.5098 0.4902 0.8394  1 Cu 1.94
N: 0.6642 0.3358 0.0534  1 Cu 2.01
N: 0.6846 0.3154 0.6721  3 Pa 2.24-2.38
N: 0.7066 0.2934 0.3341  3 Pa 2.38-2.44, 2 Y 2.52
N: 0.9808 0.0192 0.1152  2 Cu 2.05

DFT total energy: -8.95 eV per atom
V: 13.6 Å³ per atom